This record from the Alexandria database describes a relaxed structure of PaNbN. The functional is PBE.

Cell lengths 6.3377, 6.3377, 6.3377 Å; angles 152.73, 152.73, 38.95 degrees
Positions (direct):
Pa: 0.0000 0.0000 0.0000
Nb: 0.2977 0.2977 0.0000
N: 0.7685 0.7685 0.0000

Computed properties:
Calculated total energy ... -28.7 eV per cell
ΔE to the lowest computed polymorph ... 428 meV per atom
E_form (uncorrected) ... -0.28 eV/atom

This record from the Alexandria database describes a relaxed structure of Ga2SnGeS6. The functional is PBE.

Cell lengths 23.6860, 7.0395, 23.1967 Å; angles 85.33, 17.23, 77.44 degrees
Positions (direct):
Ga: 0.0572 0.4428 0.0748
Ga: 0.1239 0.3301 0.6092
Ga: 0.1752 0.8248 0.1928
Ga: 0.3132 0.6408 0.9199
Ga: 0.3301 0.1239 0.9368
Ga: 0.4428 0.0572 0.4252
Ga: 0.6408 0.3132 0.1261
Ga: 0.8248 0.1752 0.8072
Sn: 0.3715 0.8010 0.2800
Sn: 0.7025 0.9700 0.4490
Sn: 0.8010 0.3715 0.5475
Sn: 0.9700 0.7025 0.8785
Ge: 0.0491 0.0491 0.4510
Ge: 0.3088 0.3088 0.6912
Ge: 0.5588 0.5588 0.9412
Ge: 0.7990 0.7990 0.2010
S: 0.0013 0.2841 0.2100
S: 0.0400 0.7453 0.2487
S: 0.0983 0.2624 0.5407
S: 0.1513 0.7093 0.9876
S: 0.1576 0.6815 0.8331
S: 0.1642 0.2443 0.7557
S: 0.2443 0.1642 0.8358
S: 0.2624 0.0983 0.0987
S: 0.2781 0.5564 0.4628
S: 0.2841 0.0013 0.5047
S: 0.4142 0.4943 0.0057
S: 0.4169 0.9223 0.0924
S: 0.4943 0.4142 0.0858
S: 0.5472 0.7872 0.6936
S: 0.5564 0.2781 0.7028
S: 0.6599 0.7110 0.2621
S: 0.6815 0.1576 0.3277
S: 0.7093 0.1513 0.1517
S: 0.7110 0.6599 0.3671
S: 0.7453 0.0400 0.9659
S: 0.7872 0.5472 0.9719
S: 0.8829 0.9879 0.5390
S: 0.9223 0.4169 0.5685
S: 0.9879 0.8829 0.5901

Computed properties:
Calculated total energy ... -177.6 eV per cell
E_form (uncorrected) ... -0.50 eV/atom

This record from the Alexandria database describes a relaxed structure of CrCoIr4. The functional is PBE.

Cell lengths 6.8349, 6.8349, 6.8349 Å; angles 34.51, 34.51, 34.51 degrees
Positions (direct):
Cr: 0.0000 0.0000 0.0000
Co: 0.5000 0.5000 0.5000
Ir: 0.1263 0.1263 0.1263
Ir: 0.3740 0.3740 0.3740
Ir: 0.6260 0.6260 0.6260
Ir: 0.8737 0.8737 0.8737

Computed properties:
Calculated total energy ... -50.4 eV per cell
ΔE to the lowest computed polymorph ... 214 meV per atom
Formation enthalpy at 0 K ... 29.1 kJ per mole of atoms

This record from the Alexandria database describes a relaxed structure of SrPb2Au. The functional is PBE.

Cell lengths 5.8306, 5.8306, 5.8306 Å; angles 129.68, 129.68, 73.93 degrees
Positions (direct):
Sr: 0.0000 0.0000 0.0000
Pb: 0.5000 0.5000 0.0000
Pb: 0.7500 0.2500 0.5000
Au: 0.2500 0.7500 0.5000

Computed properties:
Calculated total energy ... -13.8 eV per cell
Formation enthalpy at 0 K ... -33.5 kJ per mole of atoms

- Which formula does entry 4 have?
  SrPb2Au

Copy entry 4 word for word.
This record from the Alexandria database describes a relaxed structure of SrPb2Au. The functional is PBE.

Cell lengths 5.8306, 5.8306, 5.8306 Å; angles 129.68, 129.68, 73.93 degrees
Positions (direct):
Sr: 0.0000 0.0000 0.0000
Pb: 0.5000 0.5000 0.0000
Pb: 0.7500 0.2500 0.5000
Au: 0.2500 0.7500 0.5000

Computed properties:
Calculated total energy ... -13.8 eV per cell
Formation enthalpy at 0 K ... -33.5 kJ per mole of atoms

- What is the calculated total energy in the second record?
  -177.6 eV per cell